VASP calculation (PBE) on a relaxed structure of Hf2AgCl.

Unit cell a=4.7834 b=4.7834 c=4.7834 alpha=60.00 beta=60.00 gamma=60.00
With the nearest neighbours (Å) after each atom.
Fractional coordinates of all 4 atoms:
Hf1 0.2500 0.2500 0.2500  4 Cl 2.93, 4 Ag 2.93
Hf2 0.7500 0.7500 0.7500  4 Cl 2.93, 4 Ag 2.93
Ag1 0.0000 0.0000 0.0000  8 Hf 2.93
Cl1 0.5000 0.5000 0.5000  8 Hf 2.93

**Uncorrected formation energy**: 0.0211 eV per atom
**Magnetization**: 0.00 μB/cell

VASP calculation (PBE) on a relaxed structure of HgGeHCl2.

Unit cell a=5.4960 b=5.4960 c=3.4695 alpha=90.00 beta=90.00 gamma=90.00
With the nearest neighbours (Å) after each atom.
Fractional coordinates of all 5 atoms:
Hg1 0.0000 0.0000 0.0000  2 H 1.73
Ge1 0.5000 0.5000 0.0000  8 Cl 3.25, 2 Ge 3.47
H1 0.0000 0.0000 0.5000  2 Hg 1.73
Cl1 0.0000 0.5000 0.5000  2 H 2.75
Cl2 0.5000 0.0000 0.5000  2 H 2.75

**E_tot**: -2.291 eV per atom
**Magnetization**: 0.00 μB/cell

VASP calculation (PBE) on a relaxed structure of Tb6Dy5.

Unit cell a=7.9300 b=7.9300 c=6.2801 alpha=100.10 beta=100.10 gamma=109.76
With the nearest neighbours (Å) after each atom.
Fractional coordinates of all 11 atoms:
Tb1 0.0461 0.3130 0.6680  4 Tb 3.31-3.69, 5 Dy 3.32-3.51
Tb2 0.1685 0.1685 0.1821  3 Tb 3.23-3.48, 5 Dy 3.49-3.54
Tb3 0.3130 0.0461 0.6680  4 Tb 3.31-3.69, 5 Dy 3.32-3.51
Tb4 0.6870 0.9539 0.3320  4 Tb 3.31-3.69, 5 Dy 3.32-3.51
Tb5 0.8315 0.8315 0.8179  3 Tb 3.23-3.48, 5 Dy 3.49-3.54
Tb6 0.9539 0.6870 0.3320  4 Tb 3.31-3.69, 5 Dy 3.32-3.51
Dy1 0.2408 0.7592 0.0000  6 Tb 3.32-3.52, 3 Dy 3.36-3.57
Dy2 0.3722 0.6278 0.5000  5 Dy 3.31-3.57, 6 Tb 3.40-3.51
Dy3 0.5000 0.5000 0.0000  6 Dy 3.36-3.55, 6 Tb 3.49-3.54
Dy4 0.6278 0.3722 0.5000  5 Dy 3.31-3.57, 6 Tb 3.40-3.51
Dy5 0.7592 0.2408 0.0000  6 Tb 3.32-3.52, 3 Dy 3.36-3.57

**E_tot**: -4.478 eV per atom
**Magnetization**: 0.00 μB/cell

VASP calculation (PBE) on a relaxed structure of TmThBi.

Unit cell a=5.4382 b=5.4382 c=3.6539 alpha=90.00 beta=90.00 gamma=120.00
With the nearest neighbours (Å) after each atom.
Fractional coordinates of all 3 atoms:
Tm1 0.0000 0.0000 0.0000  3 Bi 3.20
Th1 0.3333 0.6667 0.4872  3 Bi 3.37, 6 Tm 3.61-3.66, 2 Th 3.65
Bi1 0.6667 0.3333 0.8240  3 Tm 3.20, 3 Th 3.37

**E_tot**: -5.377 eV per atom
**Magnetization**: 0.00 μB/cell

VASP calculation (PBE) on a relaxed structure of Zn2OsRu.

Unit cell a=9.0713 b=9.0713 c=9.0713 alpha=17.41 beta=17.41 gamma=17.41
With the nearest neighbours (Å) after each atom.
Fractional coordinates of all 4 atoms:
Zn1 0.0000 0.0000 0.0000  9 Zn 2.75-2.88, 3 Os 2.75
Zn2 0.2435 0.2435 0.2435  3 Ru 2.72, 9 Zn 2.75-2.88
Os1 0.7505 0.7505 0.7505  3 Ru 2.61, 6 Os 2.75, 3 Zn 2.75
Ru1 0.4943 0.4943 0.4943  3 Os 2.61, 3 Zn 2.72, 6 Ru 2.75

**E_tot**: -5.677 eV per atom
**Magnetization**: 0.00 μB/cell

VASP calculation (PBE) on a relaxed structure of Dy3BeIr2.

Unit cell a=11.1687 b=3.9483 c=11.5607 alpha=90.00 beta=90.00 gamma=90.00
With the nearest neighbours (Å) after each atom.
Fractional coordinates of all 24 atoms:
Dy1 0.0594 0.2500 0.1202  5 Ir 2.96-3.06, 1 Be 2.98
Dy2 0.1229 0.7500 0.5580  3 Be 2.90-2.93, 5 Ir 2.94-3.00
Dy3 0.2014 0.2500 0.8060  4 Ir 2.83-3.00, 2 Be 2.86
Dy4 0.2986 0.7500 0.3060  4 Ir 2.83-3.00, 2 Be 2.86
Dy5 0.3771 0.2500 0.0580  3 Be 2.90-2.93, 5 Ir 2.94-3.00
Dy6 0.4406 0.7500 0.6202  5 Ir 2.96-3.06, 1 Be 2.98
Dy7 0.5594 0.2500 0.3798  5 Ir 2.96-3.06, 1 Be 2.98
Dy8 0.6229 0.7500 0.9420  3 Be 2.90-2.93, 5 Ir 2.94-3.00
Dy9 0.7014 0.2500 0.6940  4 Ir 2.83-3.00, 2 Be 2.86
Dy10 0.7986 0.7500 0.1940  4 Ir 2.83-3.00, 2 Be 2.86
Dy11 0.8771 0.2500 0.4420  3 Be 2.90-2.93, 5 Ir 2.94-3.00
Dy12 0.9406 0.7500 0.8798  5 Ir 2.96-3.06, 1 Be 2.98
Be1 0.1262 0.2500 0.3701  3 Ir 2.31-2.39
Be2 0.3738 0.7500 0.8701  3 Ir 2.31-2.39
Be3 0.6262 0.2500 0.1299  3 Ir 2.31-2.39
Be4 0.8738 0.7500 0.6299  3 Ir 2.31-2.39
Ir1 0.0337 0.7500 0.3189  2 Be 2.31
Ir2 0.1935 0.7500 0.9808  1 Be 2.39
Ir3 0.3065 0.2500 0.4808  1 Be 2.39
Ir4 0.4663 0.2500 0.8189  2 Be 2.31
Ir5 0.5337 0.7500 0.1811  2 Be 2.31
Ir6 0.6935 0.7500 0.5192  1 Be 2.39
Ir7 0.8065 0.2500 0.0192  1 Be 2.39
Ir8 0.9663 0.2500 0.6811  2 Be 2.31

**E_tot**: -6.596 eV per atom
**Magnetization**: 0.00 μB/cell

VASP calculation (PBE) on a relaxed structure of BeVAs2Cl.

Unit cell a=5.0008 b=5.0008 c=3.6384 alpha=90.00 beta=90.00 gamma=90.00
With the nearest neighbours (Å) after each atom.
Fractional coordinates of all 5 atoms:
Be1 0.0000 0.0000 0.0000  2 Cl 1.82
V1 0.5000 0.5000 0.0000  8 As 3.09
As1 0.0000 0.5000 0.5000  2 Cl 2.50
As2 0.5000 0.0000 0.5000  2 Cl 2.50
Cl1 0.0000 0.0000 0.5000  2 Be 1.82

**Uncorrected formation energy**: 1.1761 eV per atom
**Magnetization**: 0.02 μB/cell

VASP calculation (PBE) on a relaxed structure of CeErSc2.

Unit cell a=4.8683 b=4.8683 c=4.5772 alpha=90.00 beta=90.00 gamma=90.00
With the nearest neighbours (Å) after each atom.
Fractional coordinates of all 4 atoms:
Ce1 0.0000 0.0000 0.0000  8 Sc 3.34, 4 Er 3.44
Er1 0.5000 0.5000 0.0000  8 Sc 3.34, 4 Ce 3.44
Sc1 0.0000 0.5000 0.5000  4 Ce 3.34, 4 Er 3.34, 4 Sc 3.44
Sc2 0.5000 0.0000 0.5000  4 Ce 3.34, 4 Er 3.34, 4 Sc 3.44

**E_tot**: -5.716 eV per atom
**Magnetization**: 0.19 μB/cell

Q: Which formula does entry 2 have?
A: HgGeHCl2

Q: What is the magnetization in the eighth record?
A: 0.19 μB/cell